(1)
Computed, not measured: a relaxed structure of Tb2Be3PdPt4 at the PBE-GGA level of DFT.

abc: 3.9570 3.9570 10.4565
angles: 90.00 90.00 90.00
With the nearest neighbours (Å) after each atom.
Element x y z (fractional)
Tb: 0.0000 0.5000 0.2444  8 Pt 2.94-3.23, 4 Be 3.10
Tb: 0.5000 0.0000 0.7556  8 Pt 2.94-3.23, 4 Be 3.10
Be: 0.0000 0.5000 0.8837  5 Pt 2.25-2.32
Be: 0.5000 0.0000 0.1163  5 Pt 2.25-2.32
Be: 0.5000 0.5000 0.5000  4 Pt 2.65, 4 Pd 2.80
Pd: 0.0000 0.0000 0.5000  4 Pt 2.65, 4 Be 2.80
Pt: 0.0000 0.0000 0.0000  4 Be 2.32
Pt: 0.0000 0.5000 0.6684  1 Be 2.25
Pt: 0.5000 0.0000 0.3316  1 Be 2.25
Pt: 0.5000 0.5000 0.0000  4 Be 2.32

## Properties
E ... -58.5 eV/cell
Calculated density ... 12.49 g cm⁻³
Total moment ... 0.0000 μB/atom
V ... 16.37 Å³ per atom

=====

(2)
Computed, not measured: a relaxed structure of ThBe2PdPt2 at the PBE-GGA level of DFT.

abc: 4.2941 4.2941 11.0494
angles: 90.00 90.00 90.00
With the nearest neighbours (Å) after each atom.
Element x y z (fractional)
Th: 0.0000 0.0000 0.0000  4 Pd 3.04, 2 Be 3.36
Th: 0.5000 0.5000 0.5000  4 Pd 3.04, 2 Be 3.36
Be: 0.0000 0.0000 0.3043  1 Pd 2.16, 4 Pt 2.23
Be: 0.0000 0.0000 0.6957  1 Pd 2.16, 4 Pt 2.23
Be: 0.5000 0.5000 0.1957  1 Pd 2.16, 4 Pt 2.23
Be: 0.5000 0.5000 0.8043  1 Pd 2.16, 4 Pt 2.23
Pd: 0.0000 0.0000 0.5000  2 Be 2.16
Pd: 0.5000 0.5000 0.0000  2 Be 2.16
Pt: 0.0000 0.5000 0.2500  4 Be 2.23
Pt: 0.0000 0.5000 0.7500  4 Be 2.23
Pt: 0.5000 0.0000 0.2500  4 Be 2.23
Pt: 0.5000 0.0000 0.7500  4 Be 2.23

## Properties
E ... -71.4 eV/cell
Calculated density ... 12.17 g cm⁻³
Total moment ... 0.0000 μB/atom
V ... 16.98 Å³ per atom

=====

Question: What is the E in the second record?
Answer: -71.4 eV/cell

=====

Question: V of number 1 (Tb2Be3PdPt4)?
Answer: 16.37 Å³ per atom